Entry 1:
The following is a DFT calculation (PBE) of crystalline CaAc3Hg12 at its relaxed geometry.

Structure (CIF):
```
data_CaAc3Hg12
_cell_length_a 4.848
_cell_length_b 4.848
_cell_length_c 19.402
_cell_angle_alpha 90.00
_cell_angle_beta 90.00
_cell_angle_gamma 90.00
_symmetry_space_group_name_H-M 'P 4/m m m'
_symmetry_Int_Tables_number 123
_symmetry_space_group_name_Hall '-P 4 2'
loop_
_atom_site_label
_atom_site_fract_x
_atom_site_fract_y
_atom_site_fract_z
Ca1 0.000 0.000 0.000
Ac1 0.000 0.000 0.241
Ac2 0.000 0.000 0.500
Hg1 0.000 0.500 0.117
Hg2 0.000 0.500 0.372
Hg3 0.500 0.500 0.000
Hg4 0.500 0.500 0.244
Hg5 0.500 0.500 0.500
```

Its formation enthalpy at 0 K is -0.355 eV per atom. The total energy comes out at -1.48 eV per atom. Its theoretical density is 11.39 g/cm3.

=====

Entry 2:
The following is a DFT calculation (PBE) of crystalline CaAc4Hg at its relaxed geometry.

Structure (CIF):
```
data_CaAc4Hg
_cell_length_a 4.000
_cell_length_b 4.000
_cell_length_c 15.299
_cell_angle_alpha 90.00
_cell_angle_beta 90.00
_cell_angle_gamma 90.00
_symmetry_space_group_name_H-M 'P 4/m m m'
_symmetry_Int_Tables_number 123
_symmetry_space_group_name_Hall '-P 4 2'
loop_
_atom_site_label
_atom_site_fract_x
_atom_site_fract_y
_atom_site_fract_z
Ca1 0.000 0.000 0.000
Ac1 0.000 0.000 0.364
Ac2 0.500 0.500 0.182
Hg1 0.500 0.500 0.500
```

Its formation enthalpy at 0 K is -0.142 eV per atom. The total energy comes out at -3.27 eV per atom. Its theoretical density is 7.79 g/cm3.

=====

Entry 3:
The following is a DFT calculation (PBE) of crystalline Ca2AcHg at its relaxed geometry.

Structure (CIF):
```
data_Ca2AcHg
_cell_length_a 4.991
_cell_length_b 4.991
_cell_length_c 5.610
_cell_angle_alpha 90.00
_cell_angle_beta 90.00
_cell_angle_gamma 90.00
_symmetry_space_group_name_H-M 'P 4/m m m'
_symmetry_Int_Tables_number 123
_symmetry_space_group_name_Hall '-P 4 2'
loop_
_atom_site_label
_atom_site_fract_x
_atom_site_fract_y
_atom_site_fract_z
Ca1 0.000 0.500 0.000
Ac1 0.000 0.000 0.500
Hg1 0.500 0.500 0.500
```

Its formation enthalpy at 0 K is -0.146 eV per atom. The total energy comes out at -2.25 eV per atom. The energy above the most stable polymorph in this dataset comes out at 107.9 meV per atom. Its theoretical density is 6.03 g/cm3.

=====

Entry 4:
The following is a DFT calculation (PBE) of crystalline CaAcHg6 at its relaxed geometry.

Structure (CIF):
```
data_CaAcHg6
_cell_length_a 5.305
_cell_length_b 6.990
_cell_length_c 5.806
_cell_angle_alpha 90.00
_cell_angle_beta 90.00
_cell_angle_gamma 90.00
_symmetry_space_group_name_H-M 'P m m 2'
_symmetry_Int_Tables_number 25
_symmetry_space_group_name_Hall 'P 2 -2'
loop_
_atom_site_label
_atom_site_fract_x
_atom_site_fract_y
_atom_site_fract_z
Ca1 0.000 0.000 0.000
Ac1 0.500 0.500 0.702
Hg1 0.000 0.237 0.516
Hg2 0.000 0.500 0.066
Hg3 0.500 0.000 0.680
Hg4 0.500 0.234 0.191
```

Its formation enthalpy at 0 K is -0.394 eV per atom. The total energy comes out at -1.38 eV per atom. Its theoretical density is 11.34 g/cm3.